Record 1
First-principles (PBE) data for YAsPd2N after structural relaxation, as listed in Alexandria.

As for the calculated volume: 23.0 Å³ per atom. As for the space group: P4/mmm. For the density of states at the Fermi level, the calculation gives 0.87 states/eV/atom.

Structure (POSCAR):
```
YAsPd2N
1.0
4.5179 0.0000 0.0000
0.0000 5.6443 0.0000
0.0000 0.0000 4.5179
Y As Pd N
1 1 2 1
direct
0.0000 0.5000 0.0000
0.0000 0.0000 0.0000
0.0000 0.0000 0.5000
0.5000 0.0000 0.0000
0.5000 0.5000 0.5000
```

---

Record 2
First-principles (PBE) data for Sr3HoU3N8 after structural relaxation, as listed in Alexandria.

As for the calculated volume: 17.1 Å³ per atom. As for the space group: R-3m. For the density of states at the Fermi level, the calculation gives 0.60 states/eV/atom.

Structure (POSCAR):
```
Sr3HoU3N8
1.0
7.0203 -0.0004 -0.0002
-3.5105 6.0805 -0.0197
0.0000 -4.0331 6.0149
Sr Ho U N
3 1 3 8
direct
0.0000 0.0000 0.0000
0.0000 0.5000 0.0000
0.5000 0.5000 0.0000
0.0000 0.0000 0.5000
0.5000 0.0000 0.5000
0.5000 0.5000 0.5000
0.0000 0.5000 0.5000
0.2657 0.5315 0.2974
0.7343 0.4685 0.7026
0.7660 0.5321 0.3226
0.2340 0.4679 0.6774
0.7660 0.0564 0.3225
0.2340 0.9436 0.6775
0.2905 0.0565 0.3225
0.7095 0.9435 0.6775
```

---

Number 1: formation energy from raw total energies 0.64 eV per atom. Number 2: formation energy from raw total energies -1.19 eV per atom.